[1]
12
Lattice="5.466 -0.003 0.013 0.004 5.466 0.013 2.705 2.701 14.032" Properties=species:S:1:pos:R:3 comment="Cs2NaAg2Br7 PBE optimized geometry" volume_a3_per_atom=34.9 final_energy_ev_per_cell=-31.88 total_magnetization_mub_per_cell=0.00 spacegroup=C2/m raw_formation_energy_ev_per_atom=-0.954 pbc="T T T"
Ag 5.443 5.436 11.384
Ag 2.732 2.728 2.674
Br 2.735 2.732 0.013
Br 2.709 5.435 11.678
Br 5.438 2.703 11.678
Br 2.725 2.721 5.376
Br 5.465 2.729 2.380
Br 2.736 5.462 2.380
Br 5.450 5.443 8.683
Cs 5.461 5.454 4.988
Cs 2.714 2.710 9.070
Na 0.000 0.000 0.000

[2]
4
Lattice="7.451 0.022 0.014 6.171 4.176 0.014 6.171 1.902 3.718" Properties=species:S:1:pos:R:3 comment="LaYIr2 PBE optimized geometry" ef_kj_per_mol_atoms=-53.7 volume_a3_per_atom=28.7 relative_energy_mev_per_atom=105 final_energy_ev_per_cell=-31.34 total_magnetization_mub_per_cell=0.00 spacegroup=R3m pbc="T T T"
Ir 5.834 1.798 1.104
Ir 19.010 5.859 3.597
Y 14.009 4.318 2.651
La 10.630 3.276 2.011